Computed, not measured: a relaxed structure of Tb3Zn2CdInGa2 at the GGA-PBE level of DFT.

## Properties
E_tot (eV per cell): -30.68

Cell: 4.443 7.122 7.122 Å, 118.96 90.00 90.00°
Fractional positions:
Cd: 0.000 0.249 0.249
Ga: 0.000 0.677 0.335
Ga: 0.000 0.335 0.677
In: 0.500 0.987 0.987
Tb: 0.500 0.445 0.004
Tb: 0.500 0.004 0.445
Tb: 0.500 0.563 0.563
Zn: 0.000 0.998 0.742
Zn: 0.000 0.742 0.998